(1)
A plane-wave DFT calculation with GGA-PBE was carried out for a geometry-optimized LaPr3Er5 structure.

Unit cell a=9.5818 b=9.5818 c=10.0641 alpha=121.54 beta=121.54 gamma=72.13
Element x y z (fractional)
La: 0.2456 0.2456 0.0817
La: 0.7544 0.7544 0.9183
Pr: 0.0000 0.0000 0.0000
Pr: 0.0255 0.0255 0.6866
Pr: 0.4907 0.4907 0.7900
Pr: 0.5000 0.5000 0.5000
Pr: 0.5093 0.5093 0.2100
Pr: 0.9745 0.9745 0.3134
Er: 0.0924 0.5978 0.4470
Er: 0.2235 0.2235 0.4080
Er: 0.2595 0.7405 0.0000
Er: 0.2842 0.2842 0.7889
Er: 0.4022 0.9076 0.5530
Er: 0.5978 0.0924 0.4470
Er: 0.7158 0.7158 0.2111
Er: 0.7405 0.2595 0.0000
Er: 0.7765 0.7765 0.5920
Er: 0.9076 0.4022 0.5530

Summary:
ΔE_f = 48.0 kJ per mole of atoms
Mass density = 6.9 g/cm³
Magnetization = 0.00 μB per formula unit
Symmetry = C2/m, No. 12

---

(2)
A plane-wave DFT calculation with GGA-PBE was carried out for a geometry-optimized BaCa2Rh2 structure.

Unit cell a=6.5976 b=6.5976 c=6.5976 alpha=134.24 beta=134.24 gamma=66.71
Element x y z (fractional)
Ba: 0.0000 0.0000 0.0000
Ca: 0.3390 0.3390 0.0000
Ca: 0.6610 0.6610 0.0000
Rh: 0.2500 0.7500 0.5000
Rh: 0.7500 0.2500 0.5000

Summary:
ΔE_f = -7.2 kJ per mole of atoms
Mass density = 4.8 g/cm³
Polymorph energy (0 for the lowest one) = 0.1373 eV/atom
Magnetization = 0.00 μB per formula unit
Symmetry = I4/mmm, No. 139

---

(3)
A plane-wave DFT calculation with GGA-PBE was carried out for a geometry-optimized Sm5OsAu2 structure.

Unit cell a=7.8328 b=11.9420 c=4.6352 alpha=90.00 beta=90.00 gamma=90.00
Element x y z (fractional)
Sm: 0.0000 0.0000 0.0000
Sm: 0.1550 0.2962 0.0000
Sm: 0.1804 0.5802 0.5000
Sm: 0.3196 0.0802 0.5000
Sm: 0.3450 0.7962 0.0000
Sm: 0.5000 0.5000 0.0000
Sm: 0.6550 0.2038 0.0000
Sm: 0.6804 0.9198 0.5000
Sm: 0.8196 0.4198 0.5000
Sm: 0.8450 0.7038 0.0000
Os: 0.0000 0.5000 0.0000
Os: 0.5000 0.0000 0.0000
Au: 0.0638 0.8327 0.5000
Au: 0.4362 0.3327 0.5000
Au: 0.5638 0.6673 0.5000
Au: 0.9362 0.1673 0.5000

Summary:
ΔE_f = -47.1 kJ per mole of atoms
Mass density = 10.2 g/cm³
Magnetization = 0.00 μB per formula unit
Symmetry = Pbam, No. 55

---

no.,Fermi-level density of states (states/eV/cell)
1,25.0
2,2.0
3,14.5